The following is a DFT calculation (GGA+U) of VPO5 after structural relaxation.

abc: 9.4183 9.4183 8.7418
angles: 90.00 90.00 90.00
Atoms (fractional coordinates):
V (0.0850, 0.2504, 0.0000)
V (0.2496, 0.4150, 0.5000)
V (0.2504, 0.9150, 0.5000)
V (0.4150, 0.7504, 0.0000)
V (0.5850, 0.2496, 0.0000)
V (0.7496, 0.0850, 0.5000)
V (0.7504, 0.5850, 0.5000)
V (0.9150, 0.7496, 0.0000)
P (0.0000, 0.0000, 0.2500)
P (0.0000, 0.0000, 0.7500)
P (0.0000, 0.5000, 0.2500)
P (0.0000, 0.5000, 0.7500)
P (0.5000, 0.0000, 0.2500)
P (0.5000, 0.0000, 0.7500)
P (0.5000, 0.5000, 0.2500)
P (0.5000, 0.5000, 0.7500)
O (0.0043, 0.6345, 0.1499)
O (0.0043, 0.6345, 0.8501)
O (0.0860, 0.1037, 0.1500)
O (0.0860, 0.1037, 0.8500)
O (0.1037, 0.9140, 0.3500)
O (0.1037, 0.9140, 0.6500)
O (0.1345, 0.5043, 0.3501)
O (0.1345, 0.5043, 0.6499)
O (0.1958, 0.2538, 0.5000)
O (0.2462, 0.3042, 0.0000)
O (0.2538, 0.8042, 0.0000)
O (0.3042, 0.7538, 0.5000)
O (0.3655, 0.0043, 0.3501)
O (0.3655, 0.0043, 0.6499)
O (0.3963, 0.4140, 0.3500)
O (0.3963, 0.4140, 0.6500)
O (0.4140, 0.6037, 0.1500)
O (0.4140, 0.6037, 0.8500)
O (0.4957, 0.1345, 0.1499)
O (0.4957, 0.1345, 0.8501)
O (0.5043, 0.8655, 0.1499)
O (0.5043, 0.8655, 0.8501)
O (0.5860, 0.3963, 0.1500)
O (0.5860, 0.3963, 0.8500)
O (0.6037, 0.5860, 0.3500)
O (0.6037, 0.5860, 0.6500)
O (0.6345, 0.9957, 0.3501)
O (0.6345, 0.9957, 0.6499)
O (0.6958, 0.2462, 0.5000)
O (0.7462, 0.1958, 0.0000)
O (0.7538, 0.6958, 0.0000)
O (0.8042, 0.7462, 0.5000)
O (0.8655, 0.4957, 0.3501)
O (0.8655, 0.4957, 0.6499)
O (0.8963, 0.0860, 0.3500)
O (0.8963, 0.0860, 0.6500)
O (0.9140, 0.8963, 0.1500)
O (0.9140, 0.8963, 0.8500)
O (0.9957, 0.3655, 0.1499)
O (0.9957, 0.3655, 0.8501)

## Properties
* total energy: -413.28 eV/cell
* symmetry: No. 135